Record 1
Below is an optimized crystal structure of ScTlPd6, with properties calculated at the GGA-PBE level.

## Properties
Polymorph energy (0 for the lowest one) = 141 meV/atom
Magnetization = 0.0 Bohr magnetons per cell
E_form = -383.8 meV/atom
Energy = -5.37 eV per atom

Cell: 7.011 7.686 5.211 Å, 42.39 47.39 56.61°
Positions (direct):
Sc 0.500 0.500 0.500
Tl 0.000 0.000 0.000
Pd 0.946 0.457 0.847
Pd 0.750 0.943 0.762
Pd 0.457 0.250 0.349
Pd 0.250 0.057 0.238
Pd 0.054 0.543 0.153
Pd 0.543 0.750 0.651



Record 2
Below is an optimized crystal structure of YScTlPd, with properties calculated at the GGA-PBE level.

## Properties
Magnetization = 0.0 Bohr magnetons per cell
E_form = -529.3 meV/atom
Energy = -5.62 eV per atom

Cell: 5.046 5.046 5.046 Å, 60.00 60.00 60.00°
Positions (direct):
Y 0.500 0.500 0.500
Sc 0.000 0.000 0.000
Tl 0.750 0.750 0.750
Pd 0.250 0.250 0.250



Record 3
Below is an optimized crystal structure of ScTlZnPd, with properties calculated at the GGA-PBE level.

## Properties
Magnetization = 0.0 Bohr magnetons per cell
E_form = -370.3 meV/atom
Energy = -4.16 eV per atom

Cell: 4.703 4.703 4.703 Å, 60.00 60.00 60.00°
Positions (direct):
Sc 0.250 0.250 0.250
Tl 0.000 0.000 0.000
Zn 0.500 0.500 0.500
Pd 0.750 0.750 0.750